Record 1
SmDy4Au5 | PBE | relaxed

a = 3.584 Å, b = 3.584 Å, c = 18.357 Å
α = 90.00°, β = 90.00°, γ = 90.00°
Element x y z (fractional)
Sm (0.000, 0.000, 0.000)
Dy (0.000, 0.000, 0.202)
Dy (0.000, 0.000, 0.401)
Dy (0.000, 0.000, 0.599)
Dy (0.000, 0.000, 0.798)
Au (0.500, 0.500, 0.106)
Au (0.500, 0.500, 0.302)
Au (0.500, 0.500, 0.500)
Au (0.500, 0.500, 0.698)
Au (0.500, 0.500, 0.894)

* crystal system: tetragonal
* formation enthalpy at 0 K: -0.85 eV per atom
* DFT total energy: -0.1765 Ha/atom
* space-group type: P4/mmm, No. 123

***

Record 2
Sm2DyAu3 | PBE | relaxed

a = 3.629 Å, b = 3.629 Å, c = 11.058 Å
α = 90.00°, β = 90.00°, γ = 90.00°
Element x y z (fractional)
Sm (0.000, 0.000, 0.169)
Sm (0.000, 0.000, 0.831)
Dy (0.000, 0.000, 0.500)
Au (0.500, 0.500, 0.000)
Au (0.500, 0.500, 0.342)
Au (0.500, 0.500, 0.658)

* crystal system: tetragonal
* formation enthalpy at 0 K: -0.82 eV per atom
* DFT total energy: -0.1764 Ha/atom
* space-group type: P4/mmm, No. 123

***

Record 3
Sm2DyAu | PBE | relaxed

a = 6.492 Å, b = 6.492 Å, c = 7.948 Å
α = 90.00°, β = 90.00°, γ = 134.88°
Element x y z (fractional)
Sm (0.141, 0.859, 0.533)
Sm (0.141, 0.859, 0.967)
Sm (0.859, 0.141, 0.033)
Sm (0.859, 0.141, 0.467)
Dy (0.457, 0.543, 0.750)
Dy (0.543, 0.457, 0.250)
Au (0.298, 0.702, 0.250)
Au (0.702, 0.298, 0.750)

* crystal system: orthorhombic
* formation enthalpy at 0 K: -0.36 eV per atom
* DFT total energy: -0.1725 Ha/atom
* space-group type: Cmcm, No. 63

***

Record 4
Sm3DyAu4 | PBE | relaxed

a = 3.646 Å, b = 3.646 Å, c = 14.672 Å
α = 90.00°, β = 90.00°, γ = 90.00°
Element x y z (fractional)
Sm (0.000, 0.000, 0.000)
Sm (0.000, 0.000, 0.252)
Sm (0.000, 0.000, 0.748)
Dy (0.000, 0.000, 0.500)
Au (0.500, 0.500, 0.125)
Au (0.500, 0.500, 0.383)
Au (0.500, 0.500, 0.617)
Au (0.500, 0.500, 0.875)

* crystal system: tetragonal
* formation enthalpy at 0 K: -0.81 eV per atom
* DFT total energy: -0.1763 Ha/atom
* space-group type: P4/mmm, No. 123

***

Record 5
SmDy3Au4 | PBE | relaxed

a = 8.889 Å, b = 8.889 Å, c = 8.889 Å
α = 33.43°, β = 33.43°, γ = 33.43°
Element x y z (fractional)
Sm (0.000, 0.000, 0.000)
Dy (0.250, 0.250, 0.250)
Dy (0.500, 0.500, 0.500)
Dy (0.750, 0.750, 0.750)
Au (0.127, 0.127, 0.127)
Au (0.378, 0.378, 0.378)
Au (0.622, 0.622, 0.622)
Au (0.873, 0.873, 0.873)

* crystal system: trigonal
* formation enthalpy at 0 K: -0.84 eV per atom
* DFT total energy: -0.1763 Ha/atom
* space-group type: R-3m, No. 166

***

Record 6
Sm2Dy3Au2 | PBE | relaxed

a = 6.677 Å, b = 6.677 Å, c = 9.211 Å
α = 115.34°, β = 115.34°, γ = 32.59°
Element x y z (fractional)
Sm (0.151, 0.151, 0.313)
Sm (0.849, 0.849, 0.687)
Dy (0.386, 0.386, 0.054)
Dy (0.500, 0.500, 0.500)
Dy (0.614, 0.614, 0.946)
Au (0.167, 0.167, 0.733)
Au (0.833, 0.833, 0.267)

* crystal system: monoclinic
* formation enthalpy at 0 K: -0.50 eV per atom
* DFT total energy: -0.1748 Ha/atom
* space-group type: C2/m, No. 12

***

Record 7
Sm2DyAu | PBE | relaxed

a = 10.271 Å, b = 10.271 Å, c = 10.271 Å
α = 21.03°, β = 21.03°, γ = 21.03°
Element x y z (fractional)
Sm (0.000, 0.000, 0.000)
Sm (0.190, 0.190, 0.190)
Dy (0.428, 0.428, 0.428)
Au (0.595, 0.595, 0.595)

* crystal system: trigonal
* formation enthalpy at 0 K: -0.25 eV per atom
* DFT total energy: -0.1682 Ha/atom
* space-group type: R3m, No. 160

***

Record 8
Sm2DyAu3 | PBE | relaxed

a = 5.158 Å, b = 5.158 Å, c = 6.347 Å
α = 90.00°, β = 90.00°, γ = 120.00°
Element x y z (fractional)
Sm (0.333, 0.667, 0.169)
Sm (0.667, 0.333, 0.831)
Dy (0.000, 0.000, 0.500)
Au (0.000, 0.000, 0.000)
Au (0.333, 0.667, 0.660)
Au (0.667, 0.333, 0.340)

* crystal system: trigonal
* formation enthalpy at 0 K: -0.82 eV per atom
* DFT total energy: -0.1762 Ha/atom
* space-group type: P-3m1, No. 164

***

Record 9
Sm3Dy2Au2 | PBE | relaxed

a = 6.637 Å, b = 6.637 Å, c = 9.235 Å
α = 113.55°, β = 113.55°, γ = 33.09°
Element x y z (fractional)
Sm (0.000, 0.000, 0.000)
Sm (0.112, 0.112, 0.443)
Sm (0.888, 0.888, 0.557)
Dy (0.347, 0.347, 0.188)
Dy (0.653, 0.653, 0.812)
Au (0.327, 0.327, 0.777)
Au (0.673, 0.673, 0.223)

* crystal system: monoclinic
* formation enthalpy at 0 K: -0.47 eV per atom
* DFT total energy: -0.1742 Ha/atom
* space-group type: C2/m, No. 12

***

Record 10
SmDy2Au6 | PBE | relaxed

a = 8.552 Å, b = 8.552 Å, c = 5.255 Å
α = 98.70°, β = 98.70°, γ = 144.01°
Element x y z (fractional)
Sm (0.000, 0.000, 0.000)
Dy (0.334, 0.666, 0.500)
Dy (0.666, 0.334, 0.500)
Au (0.004, 0.669, 0.169)
Au (0.331, 0.996, 0.831)
Au (0.344, 0.344, 0.672)
Au (0.656, 0.656, 0.328)
Au (0.669, 0.004, 0.169)
Au (0.996, 0.331, 0.831)

* crystal system: monoclinic
* formation enthalpy at 0 K: -0.78 eV per atom
* DFT total energy: -0.1657 Ha/atom
* space-group type: C2/m, No. 12

***

Record 11
SmDy3Au3 | PBE | relaxed

a = 7.250 Å, b = 7.250 Å, c = 7.130 Å
α = 97.03°, β = 97.03°, γ = 87.99°
Element x y z (fractional)
Sm (0.245, 0.245, 0.484)
Sm (0.755, 0.755, 0.516)
Dy (0.192, 0.808, 0.000)
Dy (0.270, 0.730, 0.500)
Dy (0.314, 0.314, 0.017)
Dy (0.686, 0.686, 0.983)
Dy (0.730, 0.270, 0.500)
Dy (0.808, 0.192, 0.000)
Au (0.002, 0.515, 0.227)
Au (0.044, 0.044, 0.713)
Au (0.485, 0.998, 0.773)
Au (0.515, 0.002, 0.227)
Au (0.956, 0.956, 0.287)
Au (0.998, 0.485, 0.773)

* crystal system: monoclinic
* formation enthalpy at 0 K: -0.64 eV per atom
* DFT total energy: -0.1725 Ha/atom
* space-group type: C2/m, No. 12

***

Record 12
Sm2DyAu | PBE | relaxed

a = 7.070 Å, b = 9.981 Å, c = 6.729 Å
α = 90.00°, β = 90.00°, γ = 90.00°
Element x y z (fractional)
Sm (0.196, 0.055, 0.188)
Sm (0.196, 0.445, 0.188)
Sm (0.304, 0.555, 0.688)
Sm (0.304, 0.945, 0.688)
Sm (0.696, 0.055, 0.312)
Sm (0.696, 0.445, 0.312)
Sm (0.804, 0.555, 0.812)
Sm (0.804, 0.945, 0.812)
Dy (0.017, 0.250, 0.625)
Dy (0.483, 0.750, 0.125)
Dy (0.517, 0.250, 0.875)
Dy (0.983, 0.750, 0.375)
Au (0.095, 0.750, 0.958)
Au (0.405, 0.250, 0.458)
Au (0.595, 0.750, 0.542)
Au (0.905, 0.250, 0.042)

* crystal system: orthorhombic
* formation enthalpy at 0 K: -0.41 eV per atom
* DFT total energy: -0.1743 Ha/atom
* space-group type: Pnma, No. 62

***

Record 13
Sm4DyAu5 | PBE | relaxed

a = 3.634 Å, b = 3.634 Å, c = 18.553 Å
α = 90.00°, β = 90.00°, γ = 90.00°
Element x y z (fractional)
Sm (0.000, 0.000, 0.101)
Sm (0.000, 0.000, 0.302)
Sm (0.000, 0.000, 0.698)
Sm (0.000, 0.000, 0.899)
Dy (0.000, 0.000, 0.500)
Au (0.500, 0.500, 0.000)
Au (0.500, 0.500, 0.201)
Au (0.500, 0.500, 0.406)
Au (0.500, 0.500, 0.594)
Au (0.500, 0.500, 0.799)

* crystal system: tetragonal
* formation enthalpy at 0 K: -0.81 eV per atom
* DFT total energy: -0.1763 Ha/atom
* space-group type: P4/mmm, No. 123

***

Record 14
SmDyTcAu | PBE | relaxed

a = 5.006 Å, b = 5.006 Å, c = 5.006 Å
α = 60.00°, β = 60.00°, γ = 60.00°
Element x y z (fractional)
Sm (0.000, 0.000, 0.000)
Dy (0.500, 0.500, 0.500)
Tc (0.250, 0.250, 0.250)
Au (0.750, 0.750, 0.750)

* crystal system: cubic
* formation enthalpy at 0 K: -0.30 eV per atom
* DFT total energy: -0.2220 Ha/atom
* space-group type: F-43m, No. 216

***

Record 15
SmDyTeAu | PBE | relaxed

a = 7.922 Å, b = 7.922 Å, c = 7.922 Å
α = 30.74°, β = 30.74°, γ = 30.74°
Element x y z (fractional)
Sm (0.000, 0.000, 0.000)
Dy (0.487, 0.487, 0.487)
Te (0.242, 0.242, 0.242)
Au (0.746, 0.746, 0.746)

* crystal system: trigonal
* formation energy from raw total energies: -406 kJ/mol of formula units
* DFT total energy: -0.1833 Ha/atom
* space-group type: R3m, No. 160

***

Record 16
DySnAu2 | PBE | relaxed

a = 4.613 Å, b = 4.613 Å, c = 4.139 Å
α = 90.00°, β = 90.00°, γ = 90.00°
Element x y z (fractional)
Dy (0.000, 0.000, 0.000)
Sn (0.500, 0.500, 0.000)
Au (0.000, 0.500, 0.500)
Au (0.500, 0.000, 0.500)

* crystal system: tetragonal
* formation enthalpy at 0 K: -0.60 eV per atom
* DFT total energy: -0.1613 Ha/atom
* space-group type: P4/mmm, No. 123

***

Record 17
Dy6SnAu5 | PBE | relaxed

a = 8.106 Å, b = 8.106 Å, c = 7.295 Å
α = 90.00°, β = 90.00°, γ = 143.23°
Element x y z (fractional)
Dy (0.000, 0.000, 0.240)
Dy (0.000, 0.000, 0.760)
Dy (0.330, 0.670, 0.246)
Dy (0.330, 0.670, 0.754)
Dy (0.670, 0.330, 0.246)
Dy (0.670, 0.330, 0.754)
Sn (0.500, 0.500, 0.500)
Au (0.161, 0.839, 0.500)
Au (0.167, 0.833, 0.000)
Au (0.500, 0.500, 0.000)
Au (0.833, 0.167, 0.000)
Au (0.839, 0.161, 0.500)

* crystal system: orthorhombic
* formation enthalpy at 0 K: -0.82 eV per atom
* DFT total energy: -0.1771 Ha/atom
* space-group type: Cmmm, No. 65

***

Record 18
Dy4SnAu3 | PBE | relaxed

a = 3.813 Å, b = 4.672 Å, c = 11.211 Å
α = 90.00°, β = 90.00°, γ = 90.00°
Element x y z (fractional)
Dy (0.000, 0.000, 0.000)
Dy (0.000, 0.500, 0.268)
Dy (0.500, 0.000, 0.479)
Dy (0.500, 0.500, 0.781)
Sn (0.000, 0.000, 0.713)
Au (0.000, 0.500, 0.537)
Au (0.500, 0.000, 0.216)
Au (0.500, 0.500, 0.045)

* crystal system: orthorhombic
* formation enthalpy at 0 K: -0.82 eV per atom
* DFT total energy: -0.1781 Ha/atom
* space-group type: Pmm2, No. 25

***

Record 19
Dy3Sn4Au3 | PBE | relaxed

a = 8.613 Å, b = 8.613 Å, c = 8.613 Å
α = 109.47°, β = 109.47°, γ = 109.47°
Element x y z (fractional)
Dy (0.125, 0.750, 0.875)
Dy (0.250, 0.625, 0.375)
Dy (0.375, 0.250, 0.625)
Dy (0.625, 0.375, 0.250)
Dy (0.750, 0.875, 0.125)
Dy (0.875, 0.125, 0.750)
Sn (0.000, 0.324, 0.500)
Sn (0.000, 0.824, 0.500)
Sn (0.176, 0.176, 0.176)
Sn (0.324, 0.500, 0.000)
Sn (0.500, 0.000, 0.324)
Sn (0.500, 0.000, 0.824)
Sn (0.676, 0.676, 0.676)
Sn (0.824, 0.500, 0.000)
Au (0.125, 0.875, 0.250)
Au (0.250, 0.125, 0.875)
Au (0.375, 0.625, 0.750)
Au (0.625, 0.750, 0.375)
Au (0.750, 0.375, 0.625)
Au (0.875, 0.250, 0.125)

* crystal system: cubic
* formation enthalpy at 0 K: -0.66 eV per atom
* DFT total energy: -0.1699 Ha/atom
* space-group type: I-43d, No. 220

***

Record 20
DySnAu2 | PBE | relaxed

a = 3.743 Å, b = 3.743 Å, c = 6.459 Å
α = 90.00°, β = 90.00°, γ = 90.00°
Element x y z (fractional)
Dy (0.000, 0.000, 0.000)
Sn (0.000, 0.000, 0.500)
Au (0.500, 0.500, 0.236)
Au (0.500, 0.500, 0.764)

* crystal system: tetragonal
* formation enthalpy at 0 K: -0.60 eV per atom
* DFT total energy: -0.1613 Ha/atom
* space-group type: P4/mmm, No. 123